Entry from Alexandria via LeMat-Bulk: K3VNi2F9 after structural relaxation (PBE with a Hubbard U).

a b c (Å): 5.8176 5.8176 7.1311
angles (deg): 90.00 90.00 120.00
Last column: nearest neighbours and their distance in Å.
Element x y z (fractional)
F  0.1702  0.8298  0.3281  1 Ni 2.02, 1 V 2.11
F  0.5000  0.5000  0.0000  2 Ni 2.04
F  0.3405  0.1702  0.6719  1 Ni 2.02, 1 V 2.11
F  0.6595  0.8298  0.3281  1 Ni 2.02, 1 V 2.11
Ni  0.3333  0.6667  0.1632  6 F 2.02-2.04
K  0.3333  0.6667  0.6691  12 F 2.90-2.93
K  0.0000  0.0000  0.0000  12 F 2.90-2.91
F  0.8298  0.1702  0.6719  1 Ni 2.02, 1 V 2.11
F  0.5000  0.0000  0.0000  2 Ni 2.04
F  0.0000  0.5000  0.0000  2 Ni 2.04
F  0.8298  0.6595  0.6719  1 Ni 2.02, 1 V 2.11
K  0.6667  0.3333  0.3309  12 F 2.90-2.93
Ni  0.6667  0.3333  0.8368  6 F 2.02-2.04
F  0.1702  0.3405  0.3281  1 Ni 2.02, 1 V 2.11
V  0.0000  0.0000  0.5000  6 F 2.11

Properties
Its total moment is 7.0 Bohr magnetons per cell. The value obtained for the total energy is -4.7566 eV/atom. As for the crystal system: trigonal. The value obtained for the volume is 209.0 Å³/cell.